Entry 1:
Here is Na2InCuS after structural relaxation from Alexandria via LeMat-Bulk. Energies are from GGA-PBE.

## Properties
Space-group type: P4/mmm
Raw formation energy in eV/atom: 0.40

Lattice parameters (Å, degrees): 5.7338 5.7338 4.7641 90.00 90.00 90.00
Fractional positions:
Na 0.0000 0.5000 0.0000
Na 0.5000 0.0000 0.0000
In 0.0000 0.0000 0.0000
Cu 0.0000 0.0000 0.5000
S 0.5000 0.5000 0.5000

Entry 2:
Here is ZrPt3 after structural relaxation from Alexandria via LeMat-Bulk. Energies are from GGA-PBE.

## Properties
Calculated formation energy in eV/atom: 1.13
Space-group type: Pm-3m

Lattice parameters (Å, degrees): 5.0351 5.0351 5.0351 90.00 90.00 90.00
Fractional positions:
Zr 0.0000 0.0000 0.0000
Pt 0.0000 0.0000 0.5000
Pt 0.0000 0.5000 0.0000
Pt 0.5000 0.0000 0.0000